# 1
A geometry-optimized CoAg2W structure. Source: Alexandria, functional GGA-PBEsol.

Computed properties:
Total magnetization ... 1.3 Bohr magnetons per cell
Relative energy among the computed polymorphs ... 142 meV/atom
DFT total energy ... -25.42 eV/cell
Space-group type ... Cmmm, No. 65
Energy of formation from the pure elements ... 0.687 eV per atom

Cell lengths 5.056, 5.056, 2.633 Å; angles 90.00, 90.00, 118.42 degrees
Element x y z (fractional)
Co 0.000 0.000 0.000
Ag 0.000 0.500 0.500
Ag 0.500 0.000 0.500
W 0.500 0.500 0.000


# 2
A geometry-optimized Sr2LaP structure. Source: Alexandria, functional GGA-PBEsol.

Computed properties:
Total magnetization ... 0.0 Bohr magnetons per cell
Relative energy among the computed polymorphs ... 0 meV/atom
DFT total energy ... -16.74 eV/cell
Space-group type ... Imm2, No. 44
Energy of formation from the pure elements ... -0.481 eV per atom

Cell lengths 7.538, 7.538, 7.538 Å; angles 150.50, 137.85, 52.28 degrees
Element x y z (fractional)
Sr 0.000 0.000 0.000
Sr 0.673 0.173 0.500
La 0.334 0.334 0.000
P 0.179 0.679 0.500


# 3
A geometry-optimized AlHgCl4 structure. Source: Alexandria, functional GGA-PBEsol.

Computed properties:
Formation energy (no corrections) ... 0.3781 eV/atom
Total magnetization ... 1.6 Bohr magnetons per cell
DFT total energy ... -10.42 eV/cell
Space-group type ... F-43m, No. 216

Cell lengths 5.821, 5.821, 5.821 Å; angles 60.00, 60.00, 60.00 degrees
Element x y z (fractional)
Al 0.000 0.000 0.000
Hg 0.750 0.750 0.750
Cl 0.376 0.376 0.376
Cl 0.376 0.376 0.872
Cl 0.376 0.872 0.376
Cl 0.872 0.376 0.376


# 4
A geometry-optimized Mg2ZrSe structure. Source: Alexandria, functional GGA-PBEsol.

Computed properties:
Formation energy (no corrections) ... -0.4734 eV/atom
Total magnetization ... 0.0 Bohr magnetons per cell
DFT total energy ... -18.27 eV/cell
Space-group type ... Cm, No. 8

Cell lengths 5.212, 5.212, 5.407 Å; angles 113.13, 113.13, 38.65 degrees
Element x y z (fractional)
Mg 0.000 0.000 0.000
Mg 0.222 0.222 0.782
Zr 0.793 0.793 0.365
Se 0.511 0.511 0.388


# 5
A geometry-optimized K2SbAu structure. Source: Alexandria, functional GGA-PBEsol.

Computed properties:
Formation energy (no corrections) ... -0.4743 eV/atom
Total magnetization ... 0.0 Bohr magnetons per cell
DFT total energy ... -25.29 eV/cell
Space-group type ... Cmcm, No. 63

Cell lengths 6.510, 6.510, 6.381 Å; angles 90.00, 90.00, 73.80 degrees
Element x y z (fractional)
K 0.004 0.338 0.250
K 0.338 0.004 0.750
K 0.662 0.996 0.250
K 0.996 0.662 0.750
Sb 0.230 0.770 0.250
Sb 0.770 0.230 0.750
Au 0.500 0.500 0.000
Au 0.500 0.500 0.500


# 6
A geometry-optimized Cu5Ag structure. Source: Alexandria, functional GGA-PBEsol.

Computed properties:
Total magnetization ... 0.0 Bohr magnetons per cell
DFT total energy ... -24.52 eV/cell
Space-group type ... Amm2, No. 38
Energy of formation from the pure elements ... 0.077 eV per atom

Cell lengths 4.222, 6.812, 6.812 Å; angles 22.03, 90.00, 90.00 degrees
Element x y z (fractional)
Cu 0.000 0.000 0.000
Cu 0.000 0.322 0.322
Cu 0.000 0.661 0.661
Cu 0.500 0.112 0.112
Cu 0.500 0.767 0.767
Ag 0.500 0.439 0.439


# 7
A geometry-optimized RbSr3Si structure. Source: Alexandria, functional GGA-PBEsol.

Computed properties:
Formation energy (no corrections) ... 1.2363 eV/atom
Total magnetization ... 0.0 Bohr magnetons per cell
DFT total energy ... -6.11 eV/cell
Space-group type ... Pm-3m, No. 221

Cell lengths 5.909, 5.909, 5.909 Å; angles 90.00, 90.00, 90.00 degrees
Element x y z (fractional)
Rb 0.000 0.000 0.000
Sr 0.000 0.000 0.500
Sr 0.000 0.500 0.000
Sr 0.500 0.000 0.000
Si 0.500 0.500 0.500


# 8
A geometry-optimized BePtRh2 structure. Source: Alexandria, functional GGA-PBEsol.

Computed properties:
Total magnetization ... 0.0 Bohr magnetons per cell
DFT total energy ... -28.51 eV/cell
Space-group type ... P4mm, No. 99
Energy of formation from the pure elements ... -0.317 eV per atom

Cell lengths 2.718, 2.718, 6.693 Å; angles 90.00, 90.00, 90.00 degrees
Element x y z (fractional)
Be 0.000 0.000 0.000
Pt 0.500 0.500 0.210
Rh 0.000 0.000 0.513
Rh 0.500 0.500 0.790


# 9
A geometry-optimized TiPdCl2 structure. Source: Alexandria, functional GGA-PBEsol.

Computed properties:
Formation energy (no corrections) ... -0.4342 eV/atom
Total magnetization ... 3.3 Bohr magnetons per cell
Relative energy among the computed polymorphs ... 337 meV/atom
DFT total energy ... -40.07 eV/cell
Space-group type ... I-42d, No. 122

Cell lengths 8.221, 8.221, 8.221 Å; angles 149.20, 149.20, 44.12 degrees
Element x y z (fractional)
Ti 0.000 0.000 0.000
Ti 0.750 0.250 0.500
Pd 0.250 0.750 0.500
Pd 0.500 0.500 0.000
Cl 0.111 0.625 0.986
Cl 0.375 0.361 0.486
Cl 0.639 0.125 0.014
Cl 0.875 0.889 0.514


# 10
A geometry-optimized SrTi2Si2 structure. Source: Alexandria, functional GGA-PBEsol.

Computed properties:
Formation energy (no corrections) ... -0.4542 eV/atom
Total magnetization ... 0.0 Bohr magnetons per cell
DFT total energy ... -32.25 eV/cell
Space-group type ... I4/mmm, No. 139

Cell lengths 6.421, 6.421, 6.421 Å; angles 141.69, 141.69, 55.29 degrees
Element x y z (fractional)
Sr 0.000 0.000 0.000
Ti 0.250 0.750 0.500
Ti 0.750 0.250 0.500
Si 0.381 0.381 0.000
Si 0.619 0.619 0.000


# 11
A geometry-optimized CdGa3Pd structure. Source: Alexandria, functional GGA-PBEsol.

Computed properties:
Total magnetization ... 0.0 Bohr magnetons per cell
DFT total energy ... -13.25 eV/cell
Space-group type ... Pm-3m, No. 221
Energy of formation from the pure elements ... 0.785 eV per atom

Cell lengths 4.919, 4.919, 4.919 Å; angles 90.00, 90.00, 90.00 degrees
Element x y z (fractional)
Cd 0.000 0.000 0.000
Ga 0.000 0.000 0.500
Ga 0.000 0.500 0.000
Ga 0.500 0.000 0.000
Pd 0.500 0.500 0.500


# 12
A geometry-optimized HgTe2Pt structure. Source: Alexandria, functional GGA-PBEsol.

Computed properties:
Formation energy (no corrections) ... -0.2616 eV/atom
Total magnetization ... 0.0 Bohr magnetons per cell
DFT total energy ... -15.63 eV/cell
Space-group type ... C2/m, No. 12

Cell lengths 4.003, 4.003, 7.544 Å; angles 105.31, 105.31, 59.99 degrees
Element x y z (fractional)
Hg 0.000 0.000 0.000
Te 0.231 0.231 0.694
Te 0.769 0.769 0.306
Pt 0.500 0.500 0.500